[1]
## OsC (PBE)

Data for a relaxed OsC crystal.

Cell lengths 2.884, 2.884, 2.898 Å; angles 90.00, 90.00, 90.00 degrees
Positions (direct):
C 0.000 0.000 0.000
Os 0.500 0.500 0.000

Summary:
The space-group type is P4/mmm (123). As for the energy above the most stable polymorph in this dataset: 509 meV/atom.


[2]
## OsC4 (PBE)

Data for a relaxed OsC4 crystal.

Cell lengths 3.826, 3.826, 3.826 Å; angles 120.67, 120.67, 88.85 degrees
Positions (direct):
C 0.250 0.750 0.500
C 0.369 0.369 0.000
C 0.750 0.250 0.500
Os 0.000 0.000 0.000
C 0.631 0.631 0.000

Summary:
The space-group type is I4/mmm (139). As for the energy above the most stable polymorph in this dataset: 1824 meV/atom.


[3]
## OsC (PBE)

Data for a relaxed OsC crystal.

Cell lengths 4.467, 4.467, 4.467 Å; angles 90.00, 90.00, 90.00 degrees
Positions (direct):
Os 0.680 0.820 0.180
C 0.443 0.943 0.557
Os 0.180 0.680 0.820
Os 0.320 0.320 0.320
C 0.057 0.057 0.057
C 0.557 0.443 0.943
C 0.943 0.557 0.443
Os 0.820 0.180 0.680

Summary:
The space-group type is P2_13 (198). As for the energy above the most stable polymorph in this dataset: 57 meV/atom.


[4]
## OsC (PBE)

Data for a relaxed OsC crystal.

Cell lengths 5.933, 4.793, 7.181 Å; angles 90.00, 90.00, 90.00 degrees
Positions (direct):
Os 0.165 0.886 0.944
C 0.310 0.989 0.711
C 0.162 0.442 0.570
Os 0.835 0.386 0.556
Os 0.362 0.394 0.802
C 0.662 0.058 0.430
Os 0.335 0.114 0.444
C 0.810 0.511 0.289
C 0.338 0.558 0.070
C 0.190 0.011 0.211
Os 0.665 0.614 0.056
C 0.838 0.942 0.930
Os 0.138 0.606 0.302
Os 0.862 0.106 0.198
C 0.690 0.489 0.789
Os 0.638 0.894 0.698

Summary:
The space-group type is P2_12_12_1 (19). As for the energy above the most stable polymorph in this dataset: 152 meV/atom.


[5]
## OsC (PBE)

Data for a relaxed OsC crystal.

Cell lengths 3.405, 3.405, 3.405 Å; angles 48.51, 48.51, 48.51 degrees
Positions (direct):
Os 0.500 0.500 0.500
C 0.000 0.000 0.000

Summary:
The space-group type is R-3m (166). As for the energy above the most stable polymorph in this dataset: 512 meV/atom.


[6]
## OsC3 (PBE)

Data for a relaxed OsC3 crystal.

Cell lengths 4.043, 4.043, 4.043 Å; angles 90.00, 90.00, 90.00 degrees
Positions (direct):
C 0.250 0.500 0.000
C 0.750 0.500 0.000
Os 0.000 0.000 0.000
C 0.500 0.000 0.750
C 0.000 0.250 0.500
C 0.000 0.750 0.500
Os 0.500 0.500 0.500
C 0.500 0.000 0.250

Summary:
The space-group type is Pm-3n (223). As for the energy above the most stable polymorph in this dataset: 1505 meV/atom.


[7]
## OsC (PBE)

Data for a relaxed OsC crystal.

Cell lengths 4.176, 4.176, 4.177 Å; angles 90.00, 90.00, 90.00 degrees
Positions (direct):
Os 0.500 0.500 0.500
C 0.500 0.000 0.500
Os 0.000 0.500 0.000
C 0.500 0.500 0.000
C 0.000 0.500 0.500
Os 0.500 0.000 0.000

Summary:
The space-group type is P4/mmm (123). As for the energy above the most stable polymorph in this dataset: 600 meV/atom.


[8]
## OsC (PBE)

Data for a relaxed OsC crystal.

Cell lengths 6.333, 6.333, 6.333 Å; angles 90.00, 90.00, 90.00 degrees
Positions (direct):
Os 0.848 0.152 0.152
Os 0.348 0.348 0.348
C 0.330 0.670 0.330
Os 0.652 0.652 0.348
Os 0.152 0.848 0.152
C 0.670 0.330 0.330
C 0.170 0.830 0.830
C 0.830 0.830 0.170
Os 0.652 0.348 0.652
Os 0.848 0.848 0.848
C 0.670 0.670 0.670
Os 0.152 0.152 0.848
Os 0.348 0.652 0.652
C 0.170 0.170 0.170
C 0.330 0.330 0.670
C 0.830 0.170 0.830

Summary:
The space-group type is I-43m (217). As for the energy above the most stable polymorph in this dataset: 352 meV/atom.


[9]
## OsC (PBE)

Data for a relaxed OsC crystal.

Cell lengths 5.200, 5.200, 2.839 Å; angles 90.00, 90.00, 120.00 degrees
Positions (direct):
C 0.333 0.667 0.500
Os 0.620 0.620 0.000
Os 0.380 0.000 0.000
Os 0.000 0.380 0.000
C 0.667 0.333 0.500
C 0.000 0.000 0.000

Summary:
The space-group type is P-62m (189). As for the energy above the most stable polymorph in this dataset: 0 meV/atom.


[10]
## Os5C3 (PBE)

Data for a relaxed Os5C3 crystal.

Cell lengths 2.712, 2.712, 11.876 Å; angles 90.00, 90.00, 90.00 degrees
Positions (direct):
Os 0.000 0.000 0.774
C 0.500 0.500 0.887
Os 0.000 0.000 0.226
Os 0.500 0.500 0.612
Os 0.500 0.500 0.388
C 0.000 0.000 0.500
Os 0.000 0.000 0.000
C 0.500 0.500 0.113

Summary:
The space-group type is P4/mmm (123). As for the energy above the most stable polymorph in this dataset: 232 meV/atom.


[11]
## Os5C4 (PBE)

Data for a relaxed Os5C4 crystal.

Cell lengths 7.250, 7.250, 7.250 Å; angles 91.97, 91.97, 158.64 degrees
Positions (direct):
Os 0.000 0.000 0.000
Os 0.666 0.334 0.000
Os 0.334 0.666 0.000
Os 0.334 0.334 0.668
Os 0.666 0.666 0.332
C 0.000 0.794 0.794
C 0.000 0.206 0.206
C 0.206 0.000 0.206
C 0.794 0.000 0.794

Summary:
The space-group type is I4/mmm (139). As for the energy above the most stable polymorph in this dataset: 215 meV/atom.


[12]
## Os3C (PBE)

Data for a relaxed Os3C crystal.

Cell lengths 2.763, 2.826, 6.560 Å; angles 90.00, 90.00, 90.00 degrees
Positions (direct):
C 0.000 0.000 0.833
Os 0.000 0.500 0.309
Os 0.500 0.000 0.571
Os 0.500 0.500 0.954

Summary:
The space-group type is Pmm2 (25). As for the energy above the most stable polymorph in this dataset: 180 meV/atom.


[13]
## OsC (PBE)

Data for a relaxed OsC crystal.

Cell lengths 8.515, 8.515, 2.824 Å; angles 90.00, 90.00, 120.00 degrees
Positions (direct):
C 0.688 0.096 0.250
C 0.408 0.312 0.250
Os 0.902 0.347 0.250
C 0.592 0.688 0.750
Os 0.445 0.098 0.250
C 0.312 0.904 0.750
Os 0.653 0.555 0.250
C 0.096 0.408 0.750
C 0.904 0.592 0.250
Os 0.555 0.902 0.750
Os 0.098 0.653 0.750
Os 0.347 0.445 0.750

Summary:
The space-group type is P6_3/m (176). As for the energy above the most stable polymorph in this dataset: 160 meV/atom.


[14]
## Os4C (PBE)

Data for a relaxed Os4C crystal.

Cell lengths 4.517, 4.517, 4.517 Å; angles 109.47, 109.47, 109.47 degrees
Positions (direct):
C 0.000 0.000 0.000
Os 0.500 0.000 0.000
Os 0.000 0.000 0.500
Os 0.500 0.500 0.500
Os 0.000 0.500 0.000

Summary:
The space-group type is Im-3m (229). As for the energy above the most stable polymorph in this dataset: 933 meV/atom.


[15]
## Os5C (PBE)

Data for a relaxed Os5C crystal.

Cell lengths 6.811, 6.811, 2.749 Å; angles 90.00, 90.00, 142.39 degrees
Positions (direct):
C 0.500 0.500 0.000
Os 0.186 0.814 0.000
Os 0.626 0.374 0.500
Os 0.814 0.186 0.000
Os 0.374 0.626 0.500
Os 0.000 0.000 0.500

Summary:
The space-group type is Cmmm (65). As for the energy above the most stable polymorph in this dataset: 0 meV/atom.


[16]
## OsC (PBE)

Data for a relaxed OsC crystal.

Cell lengths 5.633, 5.633, 3.282 Å; angles 90.00, 90.00, 90.00 degrees
Positions (direct):
Os 0.676 0.324 0.500
Os 0.824 0.824 0.000
Os 0.176 0.176 0.000
C 0.817 0.183 0.000
C 0.683 0.683 0.500
C 0.317 0.317 0.500
Os 0.324 0.676 0.500
C 0.183 0.817 0.000

Summary:
The space-group type is P4_2/mnm (136). As for the energy above the most stable polymorph in this dataset: 202 meV/atom.


[17]
## OsC3 (PBE)

Data for a relaxed OsC3 crystal.

Cell lengths 4.944, 5.180, 5.437 Å; angles 90.00, 90.00, 90.00 degrees
Positions (direct):
C 0.392 0.736 0.393
Os 0.991 0.638 0.250
Os 0.491 0.862 0.750
C 0.392 0.736 0.107
Os 0.509 0.138 0.250
C 0.892 0.764 0.607
C 0.892 0.764 0.893
C 0.565 0.559 0.250
C 0.935 0.059 0.250
C 0.108 0.236 0.107
C 0.608 0.264 0.893
C 0.108 0.236 0.393
C 0.608 0.264 0.607
Os 0.009 0.362 0.750
C 0.065 0.941 0.750
C 0.435 0.441 0.750

Summary:
The space-group type is Pnma (62). As for the energy above the most stable polymorph in this dataset: 364 meV/atom.


[18]
## OsC (PBE)

Data for a relaxed OsC crystal.

Cell lengths 2.954, 2.954, 2.722 Å; angles 90.00, 90.00, 120.00 degrees
Positions (direct):
C 0.000 0.000 0.000
Os 0.333 0.667 0.500

Summary:
The space-group type is P-6m2 (187). As for the energy above the most stable polymorph in this dataset: 199 meV/atom.


[19]
## Os3C (PBE)

Data for a relaxed Os3C crystal.

Cell lengths 7.110, 7.110, 2.747 Å; angles 90.00, 90.00, 132.56 degrees
Positions (direct):
Os 0.770 0.230 0.750
Os 0.849 0.667 0.750
C 0.363 0.637 0.750
Os 0.230 0.770 0.250
C 0.637 0.363 0.250
Os 0.333 0.151 0.750
Os 0.667 0.849 0.250
Os 0.151 0.333 0.250

Summary:
The space-group type is Cmcm (63). As for the energy above the most stable polymorph in this dataset: 261 meV/atom.


[20]
## OsC3 (PBE)

Data for a relaxed OsC3 crystal.

Cell lengths 3.950, 3.950, 3.950 Å; angles 138.69, 119.99, 75.46 degrees
Positions (direct):
C 0.609 0.673 0.936
C 0.263 0.327 0.936
Os 0.767 0.000 0.767
C 0.194 0.500 0.694

Summary:
The space-group type is Imm2 (44). As for the energy above the most stable polymorph in this dataset: 123 meV/atom.


[21]
## Os7C5 (PBE)

Data for a relaxed Os7C5 crystal.

Cell lengths 6.462, 6.462, 6.462 Å; angles 97.89, 97.89, 136.51 degrees
Positions (direct):
Os 0.771 0.540 0.769
Os 0.540 0.771 0.769
Os 0.002 0.771 0.231
Os 0.370 0.370 0.000
C 0.149 0.721 0.000
C 0.721 0.149 0.000
Os 0.018 0.518 0.500
C 0.970 0.970 0.000
Os 0.771 0.002 0.231
C 0.149 0.149 0.427
Os 0.518 0.018 0.500
C 0.721 0.721 0.573

Summary:
The space-group type is I4mm (107).


[22]
## Os3C (PBE)

Data for a relaxed Os3C crystal.

Cell lengths 4.208, 4.208, 4.208 Å; angles 60.00, 60.00, 60.00 degrees
Positions (direct):
Os 0.250 0.250 0.250
C 0.000 0.000 0.000
Os 0.750 0.750 0.750
Os 0.500 0.500 0.500

Summary:
The space-group type is Fm-3m (225). As for the energy above the most stable polymorph in this dataset: 1254 meV/atom.


[23]
## OsC (PBE)

Data for a relaxed OsC crystal.

Cell lengths 4.465, 4.465, 5.410 Å; angles 90.00, 90.00, 120.00 degrees
Positions (direct):
Os 0.000 0.000 0.250
Os 0.000 0.000 0.750
C 0.333 0.667 0.128
C 0.667 0.333 0.628
C 0.667 0.333 0.872
C 0.333 0.667 0.372
Os 0.333 0.667 0.750
Os 0.667 0.333 0.250

Summary:
The space-group type is P6_3/mmc (194). As for the energy above the most stable polymorph in this dataset: 891 meV/atom.


[24]
## Os3C (PBE)

Data for a relaxed Os3C crystal.

Cell lengths 4.347, 4.347, 2.796 Å; angles 90.00, 90.00, 90.23 degrees
Positions (direct):
Os 0.000 0.500 0.500
Os 0.500 0.500 0.000
C 0.000 0.000 0.000
Os 0.500 0.000 0.500

Summary:
The space-group type is Cmmm (65). As for the energy above the most stable polymorph in this dataset: 1286 meV/atom.


[25]
## OsC (PBE)

Data for a relaxed OsC crystal.

Cell lengths 2.806, 3.739, 4.060 Å; angles 90.00, 90.00, 90.00 degrees
Positions (direct):
C 0.500 0.500 0.840
C 0.000 0.000 0.993
Os 0.000 0.500 0.222
Os 0.500 0.000 0.611

Summary:
The space-group type is Pmmn (59). As for the energy above the most stable polymorph in this dataset: 334 meV/atom.


[26]
## OsC3 (PBE)

Data for a relaxed OsC3 crystal.

Cell lengths 3.776, 3.776, 2.820 Å; angles 90.00, 90.00, 117.15 degrees
Positions (direct):
Os 0.000 0.000 0.000
C 0.000 0.500 0.500
C 0.500 0.500 0.000
C 0.500 0.000 0.500

Summary:
The space-group type is Cmmm (65). As for the energy above the most stable polymorph in this dataset: 1833 meV/atom.


Q: Which energy of formation from the pure elements values were calculated for the entries above? A: 1.230; 2.587; 0.777; 0.872; 1.232; 2.441; 1.320; 1.072; 0.721; 1.092; 1.304; 0.519; 0.880; 1.385; 0.467; 0.922; 1.299; 0.919; 0.599; 1.058; 1.875; 1.592; 1.612; 1.624; 1.055; 2.768, in eV per atom.
Q: Which D(E_F) values were calculated for the entries above? A: 1.9; 1.1; 0.1; 0.5; 1.3; 2.7; 1.4; 1.8; 0.7; 4.3; 7.7; 2.2; 1.2; 7.3; 3.3; 1.5; 2.1; 1.3; 2.7; 0.4; 12.6; 2.4; 1.4; 4.2; 0.8; 1.7, in states/eV/f.u..